Material: In2GaNiTe
Method: DFT, PBE
State: relaxed

Lattice parameters (Å, degrees): 4.9374 4.9374 5.3644 90.00 90.00 90.00
Fractional coordinates of all 5 atoms:
In (0.0000, 0.5000, 0.0000)
In (0.5000, 0.0000, 0.0000)
Ga (0.0000, 0.0000, 0.5000)
Ni (0.5000, 0.5000, 0.0000)
Te (0.5000, 0.5000, 0.5000)

## Properties
Polymorph energy (0 for the lowest one), meV/atom: 195.0
E_form (uncorrected), eV/atom: 0.063

---

Material: Th2InGa3Ni4
Method: DFT, PBE
State: relaxed

Lattice parameters (Å, degrees): 4.2091 4.2091 10.1088 90.00 90.00 90.00
Fractional coordinates of all 10 atoms:
Th (0.0000, 0.5000, 0.2356)
Th (0.5000, 0.0000, 0.7644)
In (0.0000, 0.0000, 0.5000)
Ga (0.0000, 0.5000, 0.8827)
Ga (0.5000, 0.0000, 0.1173)
Ga (0.5000, 0.5000, 0.5000)
Ni (0.0000, 0.0000, 0.0000)
Ni (0.0000, 0.5000, 0.6489)
Ni (0.5000, 0.0000, 0.3511)
Ni (0.5000, 0.5000, 0.0000)

## Properties
ΔE_f, eV per atom: -0.511

---

Material: Th2InGa4Ni3
Method: DFT, PBE
State: relaxed

Lattice parameters (Å, degrees): 4.1836 4.1836 10.5415 90.00 90.00 90.00
Fractional coordinates of all 10 atoms:
Th (0.0000, 0.5000, 0.2318)
Th (0.5000, 0.0000, 0.7682)
In (0.0000, 0.0000, 0.5000)
Ga (0.0000, 0.0000, 0.0000)
Ga (0.0000, 0.5000, 0.6539)
Ga (0.5000, 0.0000, 0.3461)
Ga (0.5000, 0.5000, 0.0000)
Ni (0.0000, 0.5000, 0.8776)
Ni (0.5000, 0.0000, 0.1224)
Ni (0.5000, 0.5000, 0.5000)

## Properties
ΔE_f, eV per atom: -0.527

---

Material: TiInGa2Ni
Method: DFT, PBE
State: relaxed

Lattice parameters (Å, degrees): 4.9994 4.9994 4.6435 90.00 90.00 90.00
Fractional coordinates of all 5 atoms:
Ti (0.0000, 0.0000, 0.0000)
In (0.5000, 0.5000, 0.5000)
Ga (0.0000, 0.5000, 0.5000)
Ga (0.5000, 0.0000, 0.5000)
Ni (0.5000, 0.5000, 0.0000)

## Properties
ΔE_f, eV per atom: 1.030